Si5Br4, relaxed, DFT GGA-PBE; symmetry = P6_3/mcm, No. 193; DOS(E_F) = 3.85 states/eV/f.u.; energy relative to the elements, uncorrected = 31 kJ/mol of atoms; crystal system = hexagonal; offset from the most stable computed form = 0.0 meV/atom
1.0
11.097 0.000 0.000
-5.549 9.611 0.000
0.000 0.000 4.846
Si Br
10 8
Direct
0.000 0.479 0.250 Si
0.000 0.521 0.750 Si
0.333 0.667 0.000 Si
0.333 0.667 0.500 Si
0.479 0.000 0.250 Si
0.479 0.479 0.750 Si
0.521 0.000 0.750 Si
0.521 0.521 0.250 Si
0.667 0.333 0.000 Si
0.667 0.333 0.500 Si
0.000 0.000 0.000 Br
0.000 0.000 0.500 Br
0.000 0.279 0.250 Br
0.000 0.721 0.750 Br
0.279 0.000 0.250 Br
0.279 0.279 0.750 Br
0.721 0.000 0.750 Br
0.721 0.721 0.250 Br

Si2Br, relaxed, DFT GGA-PBE; symmetry = Fm-3m, No. 225; DOS(E_F) = 1.51 states/eV/f.u.; energy relative to the elements, uncorrected = 128 kJ/mol of atoms; crystal system = cubic; offset from the most stable computed form = 1601.4 meV/atom
1.0
6.570 0.000 0.000
0.000 6.570 0.000
0.000 0.000 6.570
Si Br
8 4
Direct
0.250 0.250 0.250 Si
0.250 0.250 0.750 Si
0.250 0.750 0.250 Si
0.250 0.750 0.750 Si
0.750 0.250 0.250 Si
0.750 0.250 0.750 Si
0.750 0.750 0.250 Si
0.750 0.750 0.750 Si
0.000 0.000 0.000 Br
0.000 0.500 0.500 Br
0.500 0.000 0.500 Br
0.500 0.500 0.000 Br

Question: What is the formula in the first record?
Answer: Si5Br4